No. 1
A plane-wave DFT calculation with PBEsol was carried out for a geometry-optimized Cd2CoRh structure.

Computed properties:
The space group is I-4m2, No. 119. For the density of states at the Fermi level, the calculation gives 1.341 states/eV per atom. The energy of formation from the pure elements comes out at 197 meV/atom.

Cell lengths 3.9720, 3.9720, 4.8000 Å; angles 114.44, 114.44, 90.00 degrees
Last column: nearest neighbours and their distance in Å.
Sites, in units of the cell vectors:
Co (0.5000, 0.5000, 0.0000)  8 Cd 2.78-2.81, 4 Rh 2.78
Rh (0.2500, 0.7500, 0.5000)  8 Cd 2.78-2.81, 4 Co 2.78
Cd (0.0000, 0.0000, 0.0000)  4 Cd 2.78, 4 Rh 2.78, 4 Co 2.81
Cd (0.7500, 0.2500, 0.5000)  4 Cd 2.78, 4 Co 2.78, 4 Rh 2.81



No. 2
A plane-wave DFT calculation with PBEsol was carried out for a geometry-optimized Ca2TaIr structure.

Computed properties:
The space group is P4mm, No. 99. For the density of states at the Fermi level, the calculation gives 0.979 states/eV per atom. The energy of formation from the pure elements comes out at -56 meV/atom.

Cell lengths 3.3824, 3.3824, 8.9598 Å; angles 90.00, 89.97, 90.00 degrees
Last column: nearest neighbours and their distance in Å.
Sites, in units of the cell vectors:
Ca (0.9994, 0.0000, 0.9424)  4 Ca 3.38, 4 Ta 3.39, 1 Ir 3.40
Ca (0.5005, 0.5000, 0.3205)  1 Ta 3.16, 4 Ir 3.23, 4 Ca 3.38
Ir (0.0002, 0.0000, 0.5634)  4 Ta 2.59
Ta (0.5000, 0.5000, 0.6737)  4 Ir 2.59



No. 3
A plane-wave DFT calculation with PBEsol was carried out for a geometry-optimized Y3Zr structure.

Computed properties:
The space group is Imm2, No. 44. For the density of states at the Fermi level, the calculation gives 1.813 states/eV per atom. The energy of formation from the pure elements comes out at 88 meV/atom.

Cell lengths 3.4555, 6.0310, 6.4382 Å; angles 117.93, 105.57, 90.00 degrees
Last column: nearest neighbours and their distance in Å.
Sites, in units of the cell vectors:
Y (0.2585, 0.2603, 0.5171)  3 Zr 3.30-3.44, 9 Y 3.34-3.48
Y (0.5000, 0.1582, 0.0000)  8 Y 3.34-3.46, 4 Zr 3.40-3.55
Y (0.7415, 0.7432, 0.4829)  3 Zr 3.30-3.44, 9 Y 3.34-3.48
Zr (0.0000, 0.6717, 0.0000)  10 Y 3.30-3.55, 2 Zr 3.46



No. 4
A plane-wave DFT calculation with PBEsol was carried out for a geometry-optimized CrCu2Rh structure.

Computed properties:
The space group is Cmmm, No. 65. For the density of states at the Fermi level, the calculation gives 1.017 states/eV per atom. The energy of formation from the pure elements comes out at 252 meV/atom.

Cell lengths 2.5933, 4.5512, 4.5512 Å; angles 115.85, 90.00, 90.00 degrees
Last column: nearest neighbours and their distance in Å.
Sites, in units of the cell vectors:
Cr (0.5000, 0.5000, 0.5000)  2 Rh 2.42, 2 Cr 2.59, 8 Cu 2.62
Cu (0.0000, 0.5000, 0.0000)  4 Cu 2.42-2.59, 4 Rh 2.62, 4 Cr 2.62
Cu (0.0000, 0.0000, 0.5000)  4 Cu 2.42-2.59, 4 Cr 2.62, 4 Rh 2.62
Rh (0.5000, 0.0000, 0.0000)  2 Cr 2.42, 2 Rh 2.59, 8 Cu 2.62



No. 5
A plane-wave DFT calculation with PBEsol was carried out for a geometry-optimized Ba2ZnNi structure.

Computed properties:
The space group is Imm2, No. 44. For the density of states at the Fermi level, the calculation gives 0.646 states/eV per atom. The energy of formation from the pure elements comes out at 15 meV/atom.

Cell lengths 4.3133, 4.3555, 8.0747 Å; angles 105.65, 105.49, 90.00 degrees
Last column: nearest neighbours and their distance in Å.
Sites, in units of the cell vectors:
Ni (0.5952, 0.5952, 0.1903)  2 Zn 2.37
Zn (0.1613, 0.6613, 0.3226)  2 Ni 2.37
Ba (0.9987, 0.9987, 0.9974)  2 Zn 3.26, 4 Ni 3.39
Ba (0.7449, 0.2449, 0.4897)  2 Ni 3.12, 4 Zn 3.31



No. 6
A plane-wave DFT calculation with PBEsol was carried out for a geometry-optimized Na3ScPt structure.

Computed properties:
The space group is Pm-3m, No. 221. For the density of states at the Fermi level, the calculation gives 1.254 states/eV per atom. The energy of formation from the pure elements comes out at 1503 meV/atom.

Cell lengths 5.5347, 5.5347, 5.5347 Å; angles 90.00, 90.00, 90.00 degrees
Last column: nearest neighbours and their distance in Å.
Sites, in units of the cell vectors:
Sc (0.0000, 0.0000, 0.0000)  6 Na 2.77
Na (0.0000, 0.5000, 0.0000)  2 Sc 2.77
Na (0.0000, 0.0000, 0.5000)  2 Sc 2.77
Na (0.5000, 0.0000, 0.0000)  2 Sc 2.77
Pt (0.5000, 0.5000, 0.5000)  12 Na 3.91



Question: Which value of energy of formation from the pure elements does entry 2 give?
Answer: -56 meV/atom